Version P
Density functional theory data (SCAN) for LaCo2Br at its PBEsol-relaxed geometry.

total moment = 2.12 μB/f.u.
density = 6.4 g cm⁻³

Unit cell a=3.843 b=3.843 c=5.947 alpha=90.00 beta=90.00 gamma=90.00
Each line ends with the local moment (μB).
Fractional coordinates of all 4 atoms:
Co 0.000 0.000 0.824  1.36
La 0.500 0.500 0.000  -0.31
Co 0.000 0.000 0.176  1.36
Br 0.500 0.500 0.500  0.00

=====

Version Q
Density functional theory data (SCAN) for LaCo2Br at its PBEsol-relaxed geometry.

total moment = 2.94 μB/f.u.
density = 7.0 g cm⁻³

Unit cell a=3.346 b=3.346 c=7.090 alpha=90.00 beta=90.00 gamma=90.00
Each line ends with the local moment (μB).
Fractional coordinates of all 4 atoms:
La 0.000 0.000 0.471  -0.34
Co 0.000 0.000 0.115  1.85
Br 0.500 0.500 0.746  -0.02
Co 0.500 0.500 0.168  1.81

=====

The calculated energies rank the structures as follows, beginning with the most stable: version Q, version P.

=====

Version P
Density functional theory data (SCAN) for La2CoBr at its PBEsol-relaxed geometry.

total moment = 0.00 μB/f.u.
density = 6.5 g cm⁻³

Unit cell a=3.977 b=3.977 c=8.084 alpha=75.76 beta=75.76 gamma=60.00
Fractional coordinates of all 4 atoms:
Co 0.000 0.000 0.000
Br 0.500 0.500 0.500
La 0.731 0.731 0.806
La 0.269 0.269 0.194

=====

Version Q
Density functional theory data (SCAN) for La2CoBr at its PBEsol-relaxed geometry.

total moment = 0.00 μB/f.u.
density = 7.4 g cm⁻³

Unit cell a=3.417 b=3.417 c=8.033 alpha=90.00 beta=90.00 gamma=89.81
Fractional coordinates of all 4 atoms:
La 0.000 0.000 0.208
La 0.000 0.000 0.792
Br 0.500 0.500 0.500
Co 0.500 0.500 0.000

=====

The calculated energies rank the structures as follows, beginning with the most stable: version P, version Q.

=====

Version P
Density functional theory data (SCAN) for LiCoBr2 at its PBEsol-relaxed geometry.

total moment = 2.00 μB/f.u.
density = 4.5 g cm⁻³

Unit cell a=3.737 b=4.980 c=4.980 alpha=89.45 beta=72.22 gamma=72.22
Each line ends with the local moment (μB).
Fractional coordinates of all 4 atoms:
Br 0.000 0.500 0.000  0.02
Co 0.000 0.500 0.500  1.86
Li 0.000 0.000 0.000  0.00
Br 0.000 0.000 0.500  0.02

=====

Version Q
Density functional theory data (SCAN) for LiCoBr2 at its PBEsol-relaxed geometry.

total moment = 2.00 μB/f.u.
density = 5.2 g cm⁻³

Unit cell a=3.714 b=3.714 c=5.257 alpha=90.00 beta=90.00 gamma=90.00
Each line ends with the local moment (μB).
Fractional coordinates of all 4 atoms:
Br 0.000 0.000 0.000  0.04
Li 0.000 0.000 0.500  0.00
Br 0.500 0.500 0.500  0.02
Co 0.500 0.500 0.000  1.88

=====

Version R
Density functional theory data (SCAN) for LiCoBr2 at its PBEsol-relaxed geometry.

total moment = 2.00 μB/f.u.
density = 4.4 g cm⁻³

Unit cell a=3.648 b=5.170 c=5.170 alpha=86.32 beta=69.34 gamma=69.34
Each line ends with the local moment (μB).
Fractional coordinates of all 4 atoms:
Co 0.500 0.000 0.000  1.87
Br 0.000 0.229 0.771  0.04
Br 0.000 0.771 0.229  0.04
Li 0.500 0.500 0.500  0.00

=====

Version S
Density functional theory data (SCAN) for LiCoBr2 at its PBEsol-relaxed geometry.

total moment = 2.04 μB/f.u.
density = 4.2 g cm⁻³

Unit cell a=3.522 b=3.522 c=7.539 alpha=103.51 beta=103.51 gamma=90.00
Each line ends with the local moment (μB).
Fractional coordinates of all 4 atoms:
Br 0.000 0.000 0.000  0.08
Li 0.250 0.750 0.500  0.00
Br 0.750 0.250 0.500  0.00
Co 0.500 0.500 0.000  1.96

=====

The calculated energies rank the structures as follows, beginning with the most stable: version Q, version P, version R, version S.

=====

Version P
Density functional theory data (SCAN) for MgCo2Br at its PBEsol-relaxed geometry.

total moment = 3.65 μB/f.u.
density = 6.4 g cm⁻³

Unit cell a=3.776 b=3.776 c=4.837 alpha=112.97 beta=112.97 gamma=90.00
Each line ends with the local moment (μB).
Fractional coordinates of all 4 atoms:
Co 0.000 0.000 0.000  1.74
Br 0.250 0.750 0.500  0.08
Mg 0.500 0.500 0.000  -0.01
Co 0.750 0.250 0.500  1.84

=====

Version Q
Density functional theory data (SCAN) for MgCo2Br at its PBEsol-relaxed geometry.

total moment = 2.27 μB/f.u.
density = 6.6 g cm⁻³

Unit cell a=4.288 b=4.288 c=4.288 alpha=60.00 beta=60.00 gamma=60.00
Each line ends with the local moment (μB).
Fractional coordinates of all 4 atoms:
Mg 0.500 0.500 0.500  -0.04
Co 0.250 0.250 0.250  1.27
Co 0.750 0.750 0.750  1.27
Br 0.000 0.000 0.000  0.09

=====

Version R
Density functional theory data (SCAN) for MgCo2Br at its PBEsol-relaxed geometry.

total moment = 3.94 μB/f.u.
density = 5.9 g cm⁻³

Unit cell a=2.960 b=2.960 c=8.104 alpha=90.00 beta=90.00 gamma=117.91
Each line ends with the local moment (μB).
Fractional coordinates of all 4 atoms:
Br 0.500 0.500 0.000  0.13
Mg 0.500 0.500 0.500  -0.02
Co 0.000 0.000 0.761  1.91
Co 0.000 0.000 0.239  1.91

=====

The calculated energies rank the structures as follows, beginning with the most stable: version P, version R, version Q.

=====

Version P
Density functional theory data (SCAN) for Co2MoBr at its PBEsol-relaxed geometry.

total moment = 3.87 μB/f.u.
density = 8.6 g cm⁻³

Unit cell a=2.873 b=2.873 c=8.115 alpha=79.81 beta=79.81 gamma=60.00
Each line ends with the local moment (μB).
Fractional coordinates of all 4 atoms:
Br 0.250 0.250 0.251  0.02
Mo 0.497 0.497 0.509  -0.04
Co 0.746 0.746 0.762  2.02
Co 0.007 0.007 0.978  1.96

=====

Version Q
Density functional theory data (SCAN) for Co2MoBr at its PBEsol-relaxed geometry.

total moment = 2.28 μB/f.u.
density = 9.4 g cm⁻³

Unit cell a=4.190 b=4.190 c=4.190 alpha=60.00 beta=60.00 gamma=60.00
Each line ends with the local moment (μB).
Fractional coordinates of all 4 atoms:
Co 0.000 0.000 0.000  1.15
Co 0.750 0.750 0.750  1.68
Mo 0.250 0.250 0.250  -0.58
Br 0.500 0.500 0.500  0.09

=====

The calculated energies rank the structures as follows, beginning with the most stable: version P, version Q.

=====

Version P
Density functional theory data (SCAN) for Co2MoBr at its PBEsol-relaxed geometry.

total moment = 2.39 μB/f.u.
density = 8.1 g cm⁻³

Unit cell a=2.973 b=3.125 c=6.519 alpha=89.97 beta=90.00 gamma=90.00
Each line ends with the local moment (μB).
Fractional coordinates of all 4 atoms:
Br 0.500 0.500 0.000  -0.02
Mo 0.500 0.000 0.500  -0.05
Co 0.000 0.500 0.309  1.25
Co 0.000 0.500 0.691  1.25

=====

Version Q
Density functional theory data (SCAN) for Co2MoBr at its PBEsol-relaxed geometry.

total moment = 3.26 μB/f.u.
density = 9.1 g cm⁻³

Unit cell a=2.829 b=4.487 c=4.968 alpha=115.73 beta=104.89 gamma=93.53
Each line ends with the local moment (μB).
Fractional coordinates of all 4 atoms:
Co 0.500 0.500 0.500  1.65
Co 0.000 0.000 0.500  1.65
Mo 0.000 0.500 0.000  -0.01
Br 0.500 0.000 0.000  0.03

=====

The calculated energies rank the structures as follows, beginning with the most stable: version P, version Q.

=====

Version P
Density functional theory data (SCAN) for CoMoBr2 at its PBEsol-relaxed geometry.

total moment = 1.00 μB/f.u.
density = 6.3 g cm⁻³

Unit cell a=3.524 b=3.524 c=7.946 alpha=77.19 beta=77.19 gamma=60.00
Each line ends with the local moment (μB).
Fractional coordinates of all 4 atoms:
Br 0.785 0.785 0.646  0.06
Co 0.515 0.515 0.456  -0.24
Br 0.973 0.973 0.082  0.01
Mo 0.228 0.228 0.316  1.09

=====

Version Q
Density functional theory data (SCAN) for CoMoBr2 at its PBEsol-relaxed geometry.

total moment = 3.47 μB/f.u.
density = 7.4 g cm⁻³

Unit cell a=3.039 b=3.239 c=8.127 alpha=90.00 beta=90.00 gamma=117.97
Each line ends with the local moment (μB).
Fractional coordinates of all 4 atoms:
Br 0.000 0.000 0.740  0.04
Co 0.500 0.000 0.500  1.87
Br 0.000 0.000 0.260  0.04
Mo 0.500 0.000 0.000  1.37

=====

Version R
Density functional theory data (SCAN) for CoMoBr2 at its PBEsol-relaxed geometry.

total moment = 3.92 μB/f.u.
density = 8.3 g cm⁻³

Unit cell a=3.135 b=4.475 c=4.475 alpha=90.00 beta=90.00 gamma=90.00
Each line ends with the local moment (μB).
Fractional coordinates of all 4 atoms:
Br 0.000 0.000 0.500  0.06
Br 0.000 0.500 0.000  0.06
Mo 0.500 0.000 0.000  1.86
Co 0.500 0.500 0.500  1.87

=====

The calculated energies rank the structures as follows, beginning with the most stable: version P, version Q, version R.

=====

Version P
Density functional theory data (SCAN) for Co2OsBr at its PBEsol-relaxed geometry.

total moment = 4.30 μB/f.u.
density = 10.9 g cm⁻³

Unit cell a=2.677 b=2.677 c=9.398 alpha=90.00 beta=90.00 gamma=118.19
Each line ends with the local moment (μB).
Fractional coordinates of all 4 atoms:
Co 0.000 0.000 0.970  1.97
Co 0.500 0.500 0.772  2.05
Br 0.500 0.500 0.204  0.09
Os 0.000 0.000 0.553  0.18

=====

Version Q
Density functional theory data (SCAN) for Co2OsBr at its PBEsol-relaxed geometry.

total moment = 1.11 μB/f.u.
density = 11.9 g cm⁻³

Unit cell a=2.985 b=2.985 c=6.071 alpha=90.00 beta=90.00 gamma=90.00
Each line ends with the local moment (μB).
Fractional coordinates of all 4 atoms:
Co 0.500 0.500 0.243  -0.43
Co 0.000 0.000 0.030  1.68
Br 0.500 0.500 0.788  0.09
Os 0.000 0.000 0.440  -0.13

=====

Version R
Density functional theory data (SCAN) for Co2OsBr at its PBEsol-relaxed geometry.

total moment = 4.31 μB/f.u.
density = 12.4 g cm⁻³

Unit cell a=2.743 b=4.463 c=4.463 alpha=107.92 beta=90.00 gamma=90.00
Each line ends with the local moment (μB).
Fractional coordinates of all 4 atoms:
Br 0.500 0.500 0.500  0.13
Co 0.000 0.500 0.000  1.94
Os 0.500 0.000 0.000  0.23
Co 0.000 0.000 0.500  1.94

=====

The calculated energies rank the structures as follows, beginning with the most stable: version P, version Q, version R.